[1]
ErHBrCl | GGA-PBE | relaxed

Cell: 3.7405 3.7405 14.4699 Å, 90.00 90.00 120.00°
Fractional positions:
Br 0.6667 0.3333 0.1211
Br 0.3333 0.6667 0.6211
Cl 0.6667 0.3333 0.3727
Cl 0.3333 0.6667 0.8727
Er 0.0000 0.0000 0.2538
Er 0.0000 0.0000 0.7538
H 0.3333 0.6667 0.2525
H 0.6667 0.3333 0.7525

Output
As for the total energy: -35.98 eV/cell.


[2]
ErHBrCl | GGA-PBE | relaxed

Cell: 3.7464 3.7464 14.5133 Å, 90.00 90.00 120.00°
Fractional positions:
Br 0.6667 0.3333 0.1215
Br 0.3333 0.6667 0.8785
Cl 0.6667 0.3333 0.3732
Cl 0.3333 0.6667 0.6268
Er 0.0000 0.0000 0.2545
Er 0.0000 0.0000 0.7455
H 0.3333 0.6667 0.2523
H 0.6667 0.3333 0.7477

Output
As for the total energy: -35.98 eV/cell.